SnW2F2: optimized geometry, PBE with a Hubbard U.

Crystal system: tetragonal
ρ (Mg/m³): 8.43
SG: P4/mbm, No. 127
Volume (Å³ per atom): 20.65
ΔE to the lowest computed polymorph (eV/atom): 0.264

Unit cell a=8.1086 b=8.1086 c=3.1404 alpha=90.00 beta=90.00 gamma=90.00
Element x y z (fractional)
1 Sn 0.0000 0.0000 0.0000
2 Sn 0.5000 0.5000 0.0000
3 W 0.1334 0.3666 0.0000
4 W 0.3666 0.8666 0.0000
5 W 0.6334 0.1334 0.0000
6 W 0.8666 0.6334 0.0000
7 F 0.2393 0.7393 0.5000
8 F 0.2607 0.2393 0.5000
9 F 0.7393 0.7607 0.5000
10 F 0.7607 0.2607 0.5000